No. 1
Compound: Nd5CuAg4
Source: Alexandria via LeMat-Bulk
Functional: GGA-PBE
Structure: optimized geometry

Calculated values
space group = No. 123
total moment = 0.0 μB/cell
energy relative to the elements = -0.231 eV/atom

Unit cell a=3.697 b=3.697 c=18.957 alpha=90.00 beta=90.00 gamma=90.00
Fractional coordinates of all 10 atoms:
Nd: 0.000 0.000 0.000
Nd: 0.000 0.000 0.204
Nd: 0.000 0.000 0.408
Nd: 0.000 0.000 0.592
Nd: 0.000 0.000 0.796
Cu: 0.500 0.500 0.500
Ag: 0.500 0.500 0.102
Ag: 0.500 0.500 0.305
Ag: 0.500 0.500 0.695
Ag: 0.500 0.500 0.898

No. 2
Compound: Nd6CuAg5
Source: Alexandria via LeMat-Bulk
Functional: GGA-PBE
Structure: optimized geometry

Calculated values
space group = No. 10
total moment = 0.0 μB/cell
energy relative to the elements = -0.231 eV/atom

Unit cell a=5.317 b=7.391 c=8.380 alpha=90.00 beta=108.05 gamma=90.00
Fractional coordinates of all 12 atoms:
Nd: 0.000 0.242 0.000
Nd: 0.000 0.758 0.000
Nd: 0.337 0.247 0.674
Nd: 0.337 0.753 0.674
Nd: 0.663 0.247 0.326
Nd: 0.663 0.753 0.326
Cu: 0.500 0.000 0.000
Ag: 0.169 0.500 0.337
Ag: 0.170 0.000 0.340
Ag: 0.500 0.500 0.000
Ag: 0.830 0.000 0.660
Ag: 0.831 0.500 0.663

No. 3
Compound: Nd3CuAg3
Source: Alexandria via LeMat-Bulk
Functional: GGA-PBE
Structure: optimized geometry

Calculated values
space group = No. 44
total moment = 0.0 μB/cell
energy relative to the elements = -0.220 eV/atom

Unit cell a=3.731 b=4.725 c=19.910 alpha=90.00 beta=90.00 gamma=90.00
Fractional coordinates of all 14 atoms:
Nd: 0.000 0.000 0.000
Nd: 0.000 0.000 0.376
Nd: 0.000 0.500 0.195
Nd: 0.500 0.000 0.695
Nd: 0.500 0.500 0.500
Nd: 0.500 0.500 0.876
Cu: 0.000 0.500 0.759
Cu: 0.500 0.000 0.259
Ag: 0.000 0.000 0.549
Ag: 0.000 0.000 0.828
Ag: 0.000 0.500 0.629
Ag: 0.500 0.000 0.129
Ag: 0.500 0.500 0.049
Ag: 0.500 0.500 0.328

No. 4
Compound: Nd2Cu2Ag
Source: Alexandria via LeMat-Bulk
Functional: GGA-PBE
Structure: optimized geometry

Calculated values
space group = No. 12
total moment = 0.0 μB/cell
energy relative to the elements = -0.187 eV/atom

Unit cell a=5.854 b=5.854 c=10.613 alpha=114.78 beta=114.78 gamma=44.28
Fractional coordinates of all 10 atoms:
Nd: 0.013 0.013 0.336
Nd: 0.190 0.190 0.110
Nd: 0.810 0.810 0.890
Nd: 0.987 0.987 0.664
Cu: 0.372 0.372 0.437
Cu: 0.479 0.479 0.109
Cu: 0.521 0.521 0.891
Cu: 0.628 0.628 0.563
Ag: 0.277 0.277 0.651
Ag: 0.723 0.723 0.349

Electronic total energy values (in eV/atom) by entry order: -4.17; -4.14; -4.07; -4.30.